The following is a PBEsol calculation of TaReW2 after structural relaxation, from the Alexandria database.

## Properties
The calculation puts the formation energy at -0.13 eV/atom. The value obtained for the density of states at the Fermi level is 2.14 states/eV per cell. The calculation puts the final energy at -13.51 eV per atom. The energy relative to the lowest polymorph listed for this composition comes out at 9 meV/atom.

abc: 3.1586 3.1586 6.3526
angles: 90.00 90.00 90.00
Sites, in units of the cell vectors:
Ta 0.0000 0.0000 0.0000
Re 0.5000 0.5000 0.7481
W 0.0000 0.0000 0.5011
W 0.5000 0.5000 0.2569